# Cs2In3Hg9 (PBE-GGA, optimized geometry)
data_Cs2In3Hg9
_symmetry_space_group_name_H-M 'C 1 2/c 1'
_symmetry_Int_Tables_number 15
_symmetry_space_group_name_Hall '-C 2yc'
_cell_length_a 16.3894
_cell_length_b 9.2701
_cell_length_c 13.1449
_cell_angle_alpha 90.00
_cell_angle_beta 117.43
_cell_angle_gamma 90.00
loop_
_atom_site_label
_atom_site_type_symbol
_atom_site_fract_x
_atom_site_fract_y
_atom_site_fract_z
Cs1 Cs 0.1708 0.0848 0.2477
In1 In 0.0817 0.2496 0.4965
In2 In 0.2500 0.2500 0.0000
Hg1 Hg 0.0000 0.3804 0.2500
Hg2 Hg 0.0607 0.0818 0.9278
Hg3 Hg 0.0959 0.4141 0.0315
Hg4 Hg 0.0987 0.3179 0.7429
Hg5 Hg 0.2263 0.4160 0.4334
# ΔE_f   -0.127 eV per atom
# E_tot   -1.030 eV/atom